Density functional theory data (PBE) for crystalline Rb2Cd3AgBi4 at its relaxed geometry.

Calculated values
V, A^3/atom: 33.38
ΔE_f, eV/atom: -0.191
N(E_F), states/eV per cell: 2.2

The structure in CIF format:
```
data_Rb2Cd3AgBi4
_space_group_name_H-M_alt 'P -4 m 2'
_space_group_IT_number 115
_cell_length_a 5.153
_cell_length_b 5.153
_cell_length_c 12.574
_cell_angle_alpha 90.00
_cell_angle_beta 90.00
_cell_angle_gamma 90.00
loop_
_space_group_symop_operation_xyz
'x,y,z'
'y,-x,-z'
'-x,-y,z'
'-y,x,-z'
'-x,y,z'
'-y,-x,-z'
'x,-y,z'
'y,x,-z'
loop_
_atom_site_label
_atom_site_type_symbol
_atom_site_fract_x
_atom_site_fract_y
_atom_site_fract_z
Rb1 Rb 0.000 0.500 0.240
Cd1 Cd 0.000 0.000 0.000
Cd2 Cd 0.000 0.500 0.640
Ag1 Ag 0.500 0.500 0.000
Bi1 Bi 0.000 0.000 0.500
Bi2 Bi 0.000 0.500 0.874
Bi3 Bi 0.500 0.500 0.500
```